# CsGeSbAu3, optimized geometry, DFT PBE
# mass density = 8.4 g cm⁻³
# energy = -3.439 eV/atom
# magnetization = 0.00 Bohr magnetons per cell
# crystal system = monoclinic
# formation energy without anion corrections = -0.20 eV per atom
data_CsGeSbAu3
_space_group_name_H-M_alt 'C 1 2/c 1'
_space_group_IT_number 15
_cell_length_a 7.240
_cell_length_b 12.900
_cell_length_c 7.766
_cell_angle_alpha 90.00
_cell_angle_beta 91.63
_cell_angle_gamma 90.00
loop_
_space_group_symop_operation_xyz
'x,y,z'
'-x,-y,-z'
'-x,y,-z+1/2'
'x,-y,z+1/2'
'x+1/2,y+1/2,z'
'-x+1/2,-y+1/2,-z'
'-x+1/2,y+1/2,-z+1/2'
'x+1/2,-y+1/2,z+1/2'
loop_
_atom_site_label
_atom_site_fract_x
_atom_site_fract_y
_atom_site_fract_z
Cs1 0.000 0.240 0.250
Ge1 0.000 0.064 0.750
Sb1 0.000 0.469 0.750
Au1 0.000 0.259 0.750
Au2 0.215 0.005 0.498

# LaAlCr, optimized geometry, DFT PBE
# mass density = 4.7 g cm⁻³
# energy of formation = 0.2855 eV per atom
# energy = -5.812 eV/atom
# magnetization = 16.36 Bohr magnetons per cell
# crystal system = cubic
data_LaAlCr
_space_group_name_H-M_alt 'F -4 3 m'
_space_group_IT_number 216
_space_group_name_Hall 'F -4 2 3'
_cell_length_a 6.765
_cell_length_b 6.765
_cell_length_c 6.765
_cell_angle_alpha 90.00
_cell_angle_beta 90.00
_cell_angle_gamma 90.00
loop_
_atom_site_label
_atom_site_fract_x
_atom_site_fract_y
_atom_site_fract_z
La1 0.000 0.000 0.000
Al1 0.000 0.000 0.500
Cr1 0.250 0.250 0.750

# Co2Pt, optimized geometry, DFT PBE
# mass density = 13.5 g cm⁻³
# energy of formation = -0.0378 eV per atom
# energy = -6.789 eV/atom
# magnetization = 4.25 Bohr magnetons per cell
# crystal system = hexagonal
data_Co2Pt
_space_group_name_H-M_alt 'P 6/m m m'
_space_group_IT_number 191
_space_group_name_Hall '-P 6 2'
_cell_length_a 4.0980
_cell_length_b 4.0980
_cell_length_c 2.6463
_cell_angle_alpha 90.00
_cell_angle_beta 90.00
_cell_angle_gamma 120.00
loop_
_atom_site_label
_atom_site_fract_x
_atom_site_fract_y
_atom_site_fract_z
Co1 0.3333 0.6667 0.0000
Pt1 0.0000 0.0000 0.5000

# TbTmCu2Si2, optimized geometry, DFT PBE
# mass density = 7.7 g cm⁻³
# energy = -5.361 eV/atom
# magnetization = 0.00 Bohr magnetons per cell
# crystal system = trigonal
# formation energy without anion corrections = -0.67 eV per atom
data_TbTmCu2Si2
_space_group_name_H-M_alt 'P -3 m 1'
_space_group_IT_number 164
_space_group_name_Hall '-P 3 2"'
_cell_length_a 4.1498
_cell_length_b 4.1498
_cell_length_c 7.3804
_cell_angle_alpha 90.00
_cell_angle_beta 90.00
_cell_angle_gamma 120.00
loop_
_atom_site_label
_atom_site_fract_x
_atom_site_fract_y
_atom_site_fract_z
Tb1 0.0000 0.0000 0.0000
Tm1 0.0000 0.0000 0.5000
Cu1 0.3333 0.6667 0.7407
Si1 0.3333 0.6667 0.2551

# TbDyTe3, optimized geometry, DFT PBE
# mass density = 7.2 g cm⁻³
# energy = -5.094 eV/atom
# magnetization = 0.00 Bohr magnetons per cell
# crystal system = orthorhombic
# ΔE to the lowest computed polymorph = 0.003 eV/atom
# formation energy without anion corrections = -1.36 eV per atom
data_TbDyTe3
_space_group_name_H-M_alt 'C m c m'
_space_group_IT_number 63
_space_group_name_Hall '-C 2c 2'
_cell_length_a 4.233
_cell_length_b 14.183
_cell_length_c 10.786
_cell_angle_alpha 90.00
_cell_angle_beta 90.00
_cell_angle_gamma 90.00
loop_
_atom_site_label
_atom_site_fract_x
_atom_site_fract_y
_atom_site_fract_z
Tb1 0.000 0.247 0.250
Dy1 0.000 0.000 0.000
Te1 0.000 0.096 0.750
Te2 0.000 0.352 0.568

# CdInRu4, optimized geometry, DFT PBE
# mass density = 10.4 g cm⁻³
# energy of formation = 0.4254 eV per atom
# energy = -6.367 eV/atom
# magnetization = 9.73 Bohr magnetons per cell
# crystal system = cubic
data_CdInRu4
_space_group_name_H-M_alt 'F -4 3 m'
_space_group_IT_number 216
_space_group_name_Hall 'F -4 2 3'
_cell_length_a 7.386
_cell_length_b 7.386
_cell_length_c 7.386
_cell_angle_alpha 90.00
_cell_angle_beta 90.00
_cell_angle_gamma 90.00
loop_
_atom_site_label
_atom_site_fract_x
_atom_site_fract_y
_atom_site_fract_z
Cd1 0.000 0.000 0.000
In1 0.250 0.250 0.750
Ru1 0.125 0.125 0.375

# Dy2Ga2Sn, optimized geometry, DFT PBE
# mass density = 8.4 g cm⁻³
# energy of formation = -0.6650 eV per atom
# energy = -4.517 eV/atom
# magnetization = 0.00 Bohr magnetons per cell
# crystal system = tetragonal
# ΔE to the lowest computed polymorph = 0.000 eV/atom
data_Dy2Ga2Sn
_space_group_name_H-M_alt 'P 4/m b m'
_space_group_IT_number 127
_space_group_name_Hall '-P 4 2ab'
_cell_length_a 7.264
_cell_length_b 7.264
_cell_length_c 4.376
_cell_angle_alpha 90.00
_cell_angle_beta 90.00
_cell_angle_gamma 90.00
loop_
_atom_site_label
_atom_site_fract_x
_atom_site_fract_y
_atom_site_fract_z
Dy1 0.173 0.327 0.000
Ga1 0.123 0.623 0.500
Sn1 0.000 0.000 0.500

# K4SrAu, optimized geometry, DFT PBE
# mass density = 2.2 g cm⁻³
# energy of formation = 0.2473 eV per atom
# energy = -1.311 eV/atom
# magnetization = 0.00 Bohr magnetons per cell
# crystal system = cubic
data_K4SrAu
_space_group_name_H-M_alt 'F -4 3 m'
_space_group_IT_number 216
_space_group_name_Hall 'F -4 2 3'
_cell_length_a 10.987
_cell_length_b 10.987
_cell_length_c 10.987
_cell_angle_alpha 90.00
_cell_angle_beta 90.00
_cell_angle_gamma 90.00
loop_
_atom_site_label
_atom_site_fract_x
_atom_site_fract_y
_atom_site_fract_z
K1 0.124 0.124 0.376
Sr1 0.000 0.000 0.000
Au1 0.250 0.250 0.750

# BeAlGaO4, optimized geometry, DFT PBE
# mass density = 4.5 g cm⁻³
# energy = -6.784 eV/atom
# magnetization = 0.00 Bohr magnetons per cell
# crystal system = orthorhombic
# formation energy without anion corrections = -2.45 eV per atom
data_BeAlGaO4
_space_group_name_H-M_alt 'C m c m'
_space_group_IT_number 63
_space_group_name_Hall '-C 2c 2'
_cell_length_a 5.341
_cell_length_b 8.153
_cell_length_c 5.779
_cell_angle_alpha 90.00
_cell_angle_beta 90.00
_cell_angle_gamma 90.00
loop_
_atom_site_label
_atom_site_fract_x
_atom_site_fract_y
_atom_site_fract_z
Be1 0.000 0.159 0.250
Al1 0.000 0.500 0.000
Ga1 0.000 0.158 0.750
O1 0.000 0.271 0.025
O2 0.247 0.015 0.250

# Pm4Si2Te, optimized geometry, DFT PBE
# mass density = 6.6 g cm⁻³
# energy = -5.577 eV/atom
# magnetization = 0.00 Bohr magnetons per cell
# crystal system = tetragonal
# formation energy without anion corrections = -0.86 eV per atom
data_Pm4Si2Te
_space_group_name_H-M_alt 'I -4 2 d'
_space_group_IT_number 122
_space_group_name_Hall 'I -4 2bw'
_cell_length_a 9.179
_cell_length_b 9.179
_cell_length_c 9.068
_cell_angle_alpha 90.00
_cell_angle_beta 90.00
_cell_angle_gamma 90.00
loop_
_atom_site_label
_atom_site_fract_x
_atom_site_fract_y
_atom_site_fract_z
Pm1 0.071 0.675 0.433
Si1 0.132 0.750 0.125
Te1 0.000 0.000 0.500

# Na2TmReN4, optimized geometry, DFT PBE
# mass density = 5.8 g cm⁻³
# energy = -7.260 eV/atom
# magnetization = 0.00 Bohr magnetons per cell
# crystal system = orthorhombic
# formation energy without anion corrections = -0.65 eV per atom
data_Na2TmReN4
_space_group_name_H-M_alt 'P m n 21'
_space_group_IT_number 31
_cell_length_a 6.917
_cell_length_b 6.678
_cell_length_c 5.658
_cell_angle_alpha 90.00
_cell_angle_beta 90.00
_cell_angle_gamma 90.00
loop_
_space_group_symop_operation_xyz
'x,y,z'
'-x+1/2,-y,z+1/2'
'-x,y,z'
'x+1/2,-y,z+1/2'
loop_
_atom_site_label
_atom_site_fract_x
_atom_site_fract_y
_atom_site_fract_z
Na1 0.247 0.156 0.000
Tm1 0.000 0.361 0.508
Re1 0.000 0.667 0.017
N1 0.000 0.410 0.899
N2 0.000 0.651 0.338
N3 0.223 0.800 0.929

# Dy8Cd2Rh, optimized geometry, DFT PBE
# mass density = 8.9 g cm⁻³
# energy of formation = -0.2509 eV per atom
# energy = -4.433 eV/atom
# magnetization = 0.00 Bohr magnetons per cell
# crystal system = monoclinic
data_Dy8Cd2Rh
_space_group_name_H-M_alt 'C 1 2/m 1'
_space_group_IT_number 12
_cell_length_a 17.500
_cell_length_b 5.356
_cell_length_c 6.936
_cell_angle_alpha 90.00
_cell_angle_beta 110.21
_cell_angle_gamma 90.00
loop_
_space_group_symop_operation_xyz
'x,y,z'
'-x,-y,-z'
'-x,y,-z'
'x,-y,z'
'x+1/2,y+1/2,z'
'-x+1/2,-y+1/2,-z'
'-x+1/2,y+1/2,-z'
'x+1/2,-y+1/2,z'
loop_
_atom_site_label
_atom_site_fract_x
_atom_site_fract_y
_atom_site_fract_z
Dy1 0.020 0.000 0.282
Dy2 0.092 0.500 0.922
Dy3 0.151 0.500 0.447
Dy4 0.197 0.000 0.783
Cd1 0.183 0.000 0.205
Rh1 0.000 0.500 0.500